The following is a DFT calculation (PBE-GGA) of an optimized crystal structure of La7Pb2N2.

Unit cell a=11.8293 b=7.7791 c=6.9543 alpha=90.00 beta=94.71 gamma=90.00
Last column: nearest neighbours and their distance in Å.
Space group C2/m (No. 12)
Symmetry-distinct sites (fractional):
La  0.0000  0.0000  0.0000 x2  2 N 2.66
La  0.0673  0.5000  0.8108 x4  1 N 2.62
La  0.2266  0.2805  0.2259 x8  2 N 2.53-2.60
Pb  0.0000  0.1922  0.5000 x4  1 Pb 2.99, 2 La 3.28
N  0.2252  0.0000  0.0235 x4  6 La 2.53-2.66

Values from the calculation:
Its energy is -130.00 eV per cell. As for the size of the total moment: 0.0 μB/f.u. For the energy relative to the elements, uncorrected, the calculation gives -0.5854 eV/atom.

The following is a DFT calculation (PBE-GGA) of an optimized crystal structure of LaPm2PbN.

Unit cell a=5.0237 b=5.0237 c=5.0827 alpha=90.00 beta=90.00 gamma=90.00
Last column: nearest neighbours and their distance in Å.
Space group P4/mmm (No. 123)
Symmetry-distinct sites (fractional):
La  0.0000  0.0000  0.0000 x1  2 N 2.54
Pm  0.0000  0.5000  0.5000 x2  2 N 2.51
Pb  0.5000  0.5000  0.0000 x1  4 La 3.55, 8 Pm 3.57
N  0.0000  0.0000  0.5000 x1  4 Pm 2.51, 2 La 2.54

Values from the calculation:
Its energy is -31.01 eV per cell. As for the size of the total moment: 0.0 μB/f.u. For the energy relative to the elements, uncorrected, the calculation gives -0.9093 eV/atom.

The following is a DFT calculation (PBE-GGA) of an optimized crystal structure of La2Pm4Pb3N2.

Unit cell a=4.9150 b=4.9150 c=26.3282 alpha=90.00 beta=90.00 gamma=90.00
Last column: nearest neighbours and their distance in Å.
Space group I4/mmm (No. 139)
Symmetry-distinct sites (fractional):
La  0.0000  0.0000  0.1909 x4  1 N 2.33
Pm  0.0000  0.5000  0.0832 x8  2 N 2.51
Pb  0.0000  0.0000  0.3248 x4  4 Pm 3.45, 5 La 3.50-3.52
Pb  0.0000  0.0000  0.5000 x2  8 Pm 3.29
N  0.0000  0.0000  0.1024 x4  1 La 2.33, 4 Pm 2.51

Values from the calculation:
Its energy is -132.96 eV per cell. As for the size of the total moment: 0.0 μB/f.u. For the energy relative to the elements, uncorrected, the calculation gives -0.8950 eV/atom.

The following is a DFT calculation (PBE-GGA) of an optimized crystal structure of LaPmPbN.

Unit cell a=4.8028 b=4.8028 c=9.3354 alpha=90.00 beta=90.00 gamma=90.00
Last column: nearest neighbours and their distance in Å.
Space group P4/nmm (No. 129, origin choice 2)
Symmetry-distinct sites (fractional):
La  0.2500  0.7500  0.0000 x2  4 N 2.53
Pm  0.2500  0.2500  0.3272 x2  1 N 2.26
Pb  0.2500  0.2500  0.6903 x2  5 Pm 3.39-3.40, 1 N 3.69, 4 La 3.76
N  0.2500  0.2500  0.0855 x2  1 Pm 2.26

Values from the calculation:
Its energy is -50.85 eV per cell. As for the size of the total moment: 0.0 μB/f.u. For the energy relative to the elements, uncorrected, the calculation gives -0.9280 eV/atom.

The following is a DFT calculation (PBE-GGA) of an optimized crystal structure of La4Pr2Pb3N2.

Unit cell a=4.9715 b=4.9715 c=26.7636 alpha=90.00 beta=90.00 gamma=90.00
Last column: nearest neighbours and their distance in Å.
Space group I4/mmm (No. 139)
Symmetry-distinct sites (fractional):
La  0.0000  0.5000  0.0858 x8  2 N 2.54
Pr  0.0000  0.0000  0.1946 x4  1 N 2.37
Pb  0.0000  0.0000  0.3215 x4  5 Pr 3.40-3.54, 4 La 3.51
Pb  0.0000  0.0000  0.5000 x2  8 La 3.38
N  0.0000  0.0000  0.1061 x4  1 Pr 2.37, 4 La 2.54

Values from the calculation:
Its energy is -133.01 eV per cell. As for the size of the total moment: 0.0 μB/f.u. For the energy relative to the elements, uncorrected, the calculation gives -0.8601 eV/atom.

The following is a DFT calculation (PBE-GGA) of an optimized crystal structure of La2Pr4Pb3N2.

Unit cell a=4.9861 b=4.9861 c=26.5218 alpha=90.00 beta=90.00 gamma=90.00
Last column: nearest neighbours and their distance in Å.
Space group I4/mmm (No. 139)
Symmetry-distinct sites (fractional):
La  0.0000  0.0000  0.1917 x4  1 N 2.30
Pr  0.0000  0.5000  0.0839 x8  2 N 2.55
Pb  0.0000  0.0000  0.3241 x4  4 Pr 3.49, 5 La 3.51-3.55
Pb  0.0000  0.0000  0.5000 x2  8 Pr 3.34
N  0.0000  0.0000  0.1048 x4  1 La 2.30, 4 Pr 2.55

Values from the calculation:
Its energy is -132.30 eV per cell. As for the size of the total moment: 0.0 μB/f.u. For the energy relative to the elements, uncorrected, the calculation gives -0.8545 eV/atom.

The following is a DFT calculation (PBE-GGA) of an optimized crystal structure of La4PtPb2N2.

Unit cell a=16.0752 b=4.0756 c=8.6570 alpha=90.00 beta=110.15 gamma=90.00
Last column: nearest neighbours and their distance in Å.
Space group C2/m (No. 12)
Symmetry-distinct sites (fractional):
La  0.0378  0.0000  0.2938 x4  1 N 2.26
La  0.2128  0.5000  0.6401 x4  3 N 2.37-2.41
Pt  0.0000  0.5000  0.5000 x2  6 La 2.91-3.21
Pb  0.1085  0.5000  0.0224 x4  1 Pb 3.38, 4 La 3.57-3.58
N  0.1762  0.0000  0.4827 x4  4 La 2.26-2.41

Values from the calculation:
Its energy is -117.15 eV per cell. As for the size of the total moment: 0.0 μB/f.u. For the energy relative to the elements, uncorrected, the calculation gives -0.9728 eV/atom.

The following is a DFT calculation (PBE-GGA) of an optimized crystal structure of La2PuPbN.

Unit cell a=5.1883 b=5.1883 c=4.7896 alpha=90.00 beta=90.00 gamma=90.00
Last column: nearest neighbours and their distance in Å.
Space group P4/mmm (No. 123)
Symmetry-distinct sites (fractional):
La  0.0000  0.5000  0.0000 x2  2 N 2.59
Pu  0.0000  0.0000  0.5000 x1  2 N 2.39
Pb  0.5000  0.5000  0.5000 x1  8 La 3.53, 4 Pu 3.67
N  0.0000  0.0000  0.0000 x1  2 Pu 2.39, 4 La 2.59

Values from the calculation:
Its energy is -40.35 eV per cell. As for the size of the total moment: 6.1 μB/f.u. For the energy relative to the elements, uncorrected, the calculation gives -0.8251 eV/atom.